No. 1
This record from the Alexandria database describes ZrAlCrIr2 after structural relaxation. The functional is PBE-GGA.

Properties
Calculated volume in Å³/atom: 18.1
DFT formation energy in meV/atom: 424
SG: P4/mmm, No. 123
M_tot in Bohr magnetons per cell: 0.0
Raw total energy in eV per formula unit: -37.51
ρ in Mg/m³: 10.188

a = 4.5406 Å, b = 4.5406 Å, c = 4.3848 Å
α = 90.00°, β = 90.00°, γ = 90.00°
Element x y z (fractional)
1 Zr 0.0000 0.0000 0.0000
2 Al 0.5000 0.5000 0.0000
3 Cr 0.5000 0.5000 0.5000
4 Ir 0.0000 0.5000 0.5000
5 Ir 0.5000 0.0000 0.5000

No. 2
This record from the Alexandria database describes Ni3Bi2Se2 after structural relaxation. The functional is PBE-GGA.

Properties
Calculated volume in Å³/atom: 19.7
SG: I2_13, No. 199
M_tot in Bohr magnetons per cell: 0.0
Formation energy without anion corrections in meV per atom: -227
Raw total energy in eV per formula unit: -33.66
ρ in Mg/m³: 9.035

a = 7.1077 Å, b = 7.1077 Å, c = 7.1077 Å
α = 109.47°, β = 109.47°, γ = 109.47°
Element x y z (fractional)
1 Ni 0.2334 0.7500 0.9834
2 Ni 0.2500 0.5166 0.2666
3 Ni 0.2666 0.2500 0.5166
4 Ni 0.5166 0.2666 0.2500
5 Ni 0.7500 0.9834 0.2334
6 Ni 0.9834 0.2334 0.7500
7 Bi 0.0000 0.4754 0.5000
8 Bi 0.0246 0.0246 0.0246
9 Bi 0.4754 0.5000 0.0000
10 Bi 0.5000 0.0000 0.4754
11 Se 0.0000 0.9422 0.5000
12 Se 0.5000 0.0000 0.9422
13 Se 0.5578 0.5578 0.5578
14 Se 0.9422 0.5000 0.0000

Number 1: N(E_F) 0.742 states/eV/atom. Number 2: N(E_F) 0.220 states/eV/atom.